Model P:
DFT (PBE-GGA) results for crystalline CrReBr2 at its relaxed geometry.

```
CrReBr2
1.0
4.306 0.000 0.000
0.000 3.266 -0.019
0.000 -0.304 5.593
Re Br Cr
1 2 1
direct
0.500 0.750 0.750
0.000 0.946 0.993
0.000 0.554 0.507
0.500 0.250 0.250
```

Density of states at the Fermi level   3.4 states/eV/cell
SG   No. 10

Model Q:
DFT (PBE-GGA) results for crystalline CrReBr2 at its relaxed geometry.

```
CrReBr2
1.0
1.787 0.000 8.309
-0.893 1.547 8.309
-0.893 -1.547 8.309
Cr Br Re
1 2 1
direct
0.500 0.500 0.500
0.097 0.097 0.097
0.903 0.903 0.903
0.000 0.000 0.000
```

Density of states at the Fermi level   5.6 states/eV/cell
SG   No. 166

The calculated energies rank the structures as follows, beginning with the most stable: model Q, model P.